15
Lattice="3.751 2.166 6.312 -3.751 2.166 6.312 0.000 -4.331 6.312" Properties=species:S:1:pos:R:3 comment="GGA-PBE Li3Np3IrS8, relaxed" spacegroup="No. 166" density_g_cm3=6.37 total_magnetization_mub_per_cell=11.00 formation_energy_uncorrected_ev_per_atom=-1.159 pbc="T T T"
Li -1.875 -1.083 6.312
Li -1.875 1.083 12.624
Li 0.000 2.166 6.312
Np -3.751 0.000 9.468
Np -1.875 1.083 3.156
Np 1.875 1.083 3.156
Ir 0.000 0.000 9.468
S 0.000 0.000 4.785
S 0.000 -1.965 7.964
S -1.702 0.983 7.964
S -1.702 -0.983 10.972
S 1.702 0.983 7.964
S 1.702 -0.983 10.972
S 0.000 1.965 10.972
S 0.000 0.000 14.151